[1]
CeBeSiHO5 | PBE | relaxed

Output
SG = P2_1/c (14)
DFT total energy = -7.4298 eV per atom

Structure (POSCAR):
```
CeBeSiHO5
1.0
-0.2843 3.6509 4.5936
-5.9163 3.2577 -2.9553
-5.0433 -8.8677 0.3227
Ce Be Si H O
4 4 4 4 20
Cartesian
-1.6824 -2.6828 0.1468
-6.9921 -5.5815 -1.0847
-4.2519 3.6225 3.0457
-9.5616 0.7238 1.8142
-5.7812 -6.0738 2.5293
-4.7056 -0.8437 1.6457
-6.5384 -1.1153 0.3152
-5.4627 4.1148 -0.5683
-8.5556 -2.8571 0.5626
-6.2758 1.7100 0.2804
-4.9681 -3.6690 1.6805
-2.6883 0.8981 1.3984
-4.7242 0.0763 3.4653
-6.2941 -4.8816 4.1021
-4.9498 2.9226 -2.1411
-6.5198 -2.0353 -1.5043
-5.5147 -2.2116 1.0797
-1.1106 1.1858 1.8587
-8.0484 -1.3044 0.9149
-5.5475 3.1410 0.7432
-2.9488 1.7188 0.0063
-3.4153 -3.8467 1.1941
-6.0417 1.5392 -1.3413
-7.7009 -3.3697 -0.7491
-6.2860 -1.1137 -1.2621
-9.5629 -5.1317 -1.4780
-1.6811 3.1727 3.4390
-4.9580 -0.8453 3.2231
-3.5430 1.4107 2.7100
-5.2023 -3.4982 3.3023
-7.8287 1.8877 0.7669
-8.2952 -3.6779 1.9547
-5.6964 -5.1000 1.2178
-3.1955 -0.6546 1.0461
-10.1334 -3.1448 0.1023
-5.7292 0.2525 0.8813
```

[2]
SbIN3 | PBE | relaxed

Output
Formation energy from raw total energies = 2.013 eV per atom
SG = Pm-3m (221)

Structure (POSCAR):
```
SbIN3
1.0
-3.5436 -1.9418 0.3772
1.1868 -1.4681 3.5925
-1.5825 3.2472 1.8497
I Sb N
1 1 3
Cartesian
0.0000 0.0000 0.0000
-1.9696 -0.0813 2.9097
0.5934 -0.7340 1.7963
-0.7912 1.6236 0.9249
-1.7718 -0.9709 0.1886
```

[3]
ZrOs | PBE | relaxed

Output
SG = P4/nmm (129)
Formation energy from the elements = -0.0049 eV per atom

Structure (POSCAR):
```
ZrOs
1.0
-1.4127 1.4859 2.0150
-2.1306 0.5015 -1.8636
-4.0664 -7.4514 2.6437
Os Zr
2 2
Cartesian
-1.2580 -0.1851 0.2798
-6.3517 -5.2789 2.5153
-3.5497 -4.3845 1.7697
-4.0600 -1.0795 1.0254
```

[4]
Mg3Mo | PBE | relaxed

Output
Offset from the most stable computed form = 129.1 meV/atom
SG = Pmm2 (25)
Formation energy from the elements = 0.3259 eV per atom

Structure (POSCAR):
```
Mg3Mo
1.0
2.8294 0.0000 0.0000
0.0000 4.9190 0.0000
0.0000 0.0000 5.4663
Mg Mo
3 1
Cartesian
0.0000 0.0000 3.5484
0.0000 2.4595 1.8065
1.4147 2.4595 4.7575
1.4147 0.0000 0.8203
```

[5]
K2BaSr | PBE | relaxed

Output
SG = P4/mmm (123)
Formation energy from the elements = 0.1480 eV per atom

Structure (POSCAR):
```
K2BaSr
1.0
-3.2153 -3.0046 2.4519
2.4902 0.8421 4.2973
-6.0557 8.0559 1.9306
Sr K Ba
1 2 1
Cartesian
-3.3904 2.9467 4.3399
-4.4769 5.9555 1.4272
-1.5789 2.1003 0.5033
-0.3625 -1.0812 3.3746
```

[6]
ScTa4Te | PBE | relaxed

Output
Formation energy from raw total energies = 0.315 eV per atom
SG = F-43m (216)

Structure (POSCAR):
```
ScTa4Te
1.0
-3.6551 -3.0333 2.9776
-4.0771 2.5558 2.8761
-5.3245 -0.4329 -1.6997
Sc Ta Te
1 4 1
Cartesian
0.0000 0.0000 0.0000
-6.7271 -1.8822 3.0633
-7.5762 -0.5596 0.6843
-6.9418 0.9605 3.0116
-4.8681 -0.3394 1.5488
-9.7925 -0.6828 3.1155
```

V in Å³/f.u., matching the order above: 96.3; 66.8; 36.7; 76.1; 260.4; 124.6